Record 1
{"formula": "Tm2Tl2Ag", "functional": "GGA-PBE", "state": "optimized geometry", "ef_ev_per_atom": -0.121, "rho_g_cm3": 10.8, "de_polymorph_kcal_per_mol_atoms": 0.90, "lattice": [[6.2280, 0.0000, 0.0000], [0.0000, 6.3792, 0.0000], [-3.1140, -3.1896, 6.6089]], "species": ["Tm", "Tm", "Tm", "Tm", "Tl", "Tl", "Tl", "Tl", "Ag", "Ag"], "frac_coords": [[0.3292, 0.5255, 0.6584], [0.6708, 0.4745, 0.3416], [0.1708, 0.8671, 0.3416], [0.8292, 0.1329, 0.6584], [0.9054, 0.7478, 0.8109], [0.0946, 0.2522, 0.1891], [0.5946, 0.9369, 0.1891], [0.4054, 0.0631, 0.8109], [0.7500, 0.5000, 0.0000], [0.2500, 0.5000, 0.0000]]}

Record 2
{"formula": "Tm4Tl2Ag3", "functional": "GGA-PBE", "state": "optimized geometry", "ef_ev_per_atom": -0.242, "rho_g_cm3": 10.8, "lattice": [[-3.7532, 2.8800, -1.2790], [-5.0007, -1.7463, 1.3543], [-0.6267, 3.0532, 8.7147]], "species": ["Tm", "Tm", "Tm", "Tm", "Tl", "Tl", "Ag", "Ag", "Ag"], "frac_coords": [[0.6416, 0.7166, 0.8957], [0.0517, 0.8969, 0.3393], [0.9483, 0.1031, 0.6607], [0.3584, 0.2834, 0.1043], [0.2791, 0.4415, 0.7457], [0.7209, 0.5585, 0.2543], [0.3624, 0.2757, 0.4312], [0.0000, 0.0000, 0.0000], [0.6376, 0.7243, 0.5688]]}

Record 3
{"formula": "Tm4Tl2Ag", "functional": "GGA-PBE", "state": "optimized geometry", "ef_ev_per_atom": -0.196, "rho_g_cm3": 10.2, "de_polymorph_kcal_per_mol_atoms": 0.00, "lattice": [[-4.6317, 2.2673, 0.1369], [-2.6749, 0.1380, 4.4088], [1.2132, 8.1356, 3.4994]], "species": ["Tl", "Tl", "Tm", "Tm", "Tm", "Tm", "Ag"], "frac_coords": [[0.7529, 0.7529, 0.7413], [0.2471, 0.2471, 0.2587], [0.8752, 0.8752, 0.3745], [0.1248, 0.1248, 0.6255], [0.6246, 0.6246, 0.1261], [0.3754, 0.3754, 0.8739], [0.0000, 0.0000, 0.0000]]}

Record 4
{"formula": "TmTlAg", "functional": "GGA-PBE", "state": "optimized geometry", "ef_ev_per_atom": -0.152, "rho_g_cm3": 11.0, "lattice": [[-1.0043, 3.4988, -0.0361], [-3.4168, -0.9726, 0.7944], [3.3440, -0.8827, 4.9616]], "species": ["Tl", "Tm", "Ag"], "frac_coords": [[0.6262, 0.6262, 0.2525], [0.9391, 0.9391, 0.8782], [0.2846, 0.2846, 0.5693]]}

Record 5
{"formula": "Tm5TlAg", "functional": "GGA-PBE", "state": "optimized geometry", "ef_ev_per_atom": -0.011, "rho_g_cm3": 9.9, "lattice": [[1.3246, 5.6027, -1.0347], [0.8952, -0.9502, -5.7019], [-11.7441, 0.4924, 0.3892]], "species": ["Tm", "Tm", "Tm", "Tm", "Tm", "Tm", "Tm", "Tm", "Tm", "Tm", "Tl", "Tl", "Ag", "Ag"], "frac_coords": [[0.0679, 0.4681, 0.1345], [0.2306, 0.5124, 0.4405], [0.4681, 0.0679, 0.6345], [0.9813, 0.0187, 0.2500], [0.4876, 0.7694, 0.0595], [0.5124, 0.2306, 0.9405], [0.0187, 0.9813, 0.7500], [0.5319, 0.9321, 0.3655], [0.7694, 0.4876, 0.5595], [0.9321, 0.5319, 0.8655], [0.5991, 0.4009, 0.2500], [0.4009, 0.5991, 0.7500], [0.0000, 0.0000, 0.0000], [0.0000, 0.0000, 0.5000]]}

Record 6
{"formula": "Tm7Tl4Ag", "functional": "GGA-PBE", "state": "optimized geometry", "ef_ev_per_atom": -0.031, "rho_g_cm3": 9.9, "lattice": [[-3.9800, -0.2396, 3.7132], [3.4022, -4.2702, 7.3685], [0.4762, 6.1477, 4.9044]], "species": ["Tm", "Tm", "Tm", "Tm", "Tm", "Tm", "Tm", "Tl", "Tl", "Tl", "Tl", "Ag"], "frac_coords": [[0.7838, 0.8686, 0.5639], [0.2162, 0.1314, 0.4361], [0.0735, 0.6861, 0.1668], [0.9265, 0.3139, 0.8332], [0.3463, 0.5851, 0.7223], [0.5000, 0.0000, 0.0000], [0.6537, 0.4149, 0.2777], [0.5730, 0.2200, 0.6341], [0.4270, 0.7800, 0.3659], [0.7135, 0.6596, 0.9135], [0.2865, 0.3404, 0.0865], [0.0000, 0.0000, 0.0000]]}

Record 7
{"formula": "Tm2TlAg", "functional": "GGA-PBE", "state": "optimized geometry", "ef_ev_per_atom": -0.148, "rho_g_cm3": 10.0, "de_polymorph_kcal_per_mol_atoms": 4.20, "lattice": [[3.7406, 0.0000, 0.0000], [1.8703, 3.2395, 0.0000], [1.8703, 1.0798, 8.9037]], "species": ["Tl", "Tm", "Tm", "Ag"], "frac_coords": [[0.5000, 0.5000, 0.5000], [0.2561, 0.2561, 0.2318], [0.7439, 0.7439, 0.7682], [0.0000, 0.0000, 0.0000]]}

Record 8
{"formula": "Tm2TlAg", "functional": "GGA-PBE", "state": "optimized geometry", "ef_ev_per_atom": -0.330, "rho_g_cm3": 10.9, "de_polymorph_kcal_per_mol_atoms": 0.00, "lattice": [[5.1944, 0.0000, 0.0000], [2.5972, 4.4984, 0.0000], [2.5972, 1.4995, 4.2412]], "species": ["Tl", "Tm", "Tm", "Ag"], "frac_coords": [[0.0000, 0.0000, 0.0000], [0.2500, 0.2500, 0.2500], [0.7500, 0.7500, 0.7500], [0.5000, 0.5000, 0.5000]]}